NaBePt: optimized geometry, PBE.

Structure (extended XYZ):
```
3
Lattice="0.000 2.868 2.868 2.868 0.000 2.868 2.868 2.868 0.000" Properties=species:S:1:pos:R:3 pbc="T T T"
Be 0.000 0.000 0.000
Na 1.434 1.434 1.434
Pt 4.302 4.302 4.302
```

Values from the calculation:
- Energy: -10.8 eV for the cell shown
- Crystal system: cubic
- V: 15.7 Å³ per atom


NaTaBePt: optimized geometry, PBE.

Structure (extended XYZ):
```
4
Lattice="0.000 3.143 3.143 3.143 0.000 3.143 3.143 3.143 0.000" Properties=species:S:1:pos:R:3 pbc="T T T"
Be 0.000 0.000 0.000
Na 4.715 4.715 4.715
Pt 3.143 3.143 3.143
Ta 1.572 1.572 1.572
```

Values from the calculation:
- Energy: -22.1 eV for the cell shown
- Crystal system: cubic
- V: 15.5 Å³ per atom


NaTaBePt: optimized geometry, PBE.

Structure (extended XYZ):
```
4
Lattice="-3.643 -0.817 -2.291 -3.518 2.563 0.493 -1.210 2.703 -3.228" Properties=species:S:1:pos:R:3 pbc="T T T"
Be -6.278 3.337 -3.770
Na 0.000 0.000 0.000
Pt -4.186 2.225 -2.513
Ta -2.093 1.112 -1.257
```

Values from the calculation:
- Energy: -22.7 eV for the cell shown
- Crystal system: cubic
- V: 14.9 Å³ per atom


NaSmBeS3: optimized geometry, PBE.

Structure (extended XYZ):
```
12
Lattice="1.931 -6.394 0.000 1.931 6.394 0.000 0.000 0.000 10.762" Properties=species:S:1:pos:R:3 pbc="T T T"
Be 1.931 -0.477 2.691
Be 1.931 0.477 8.072
Na 1.931 3.222 2.691
Na 1.931 -3.222 8.072
S 1.931 -1.690 0.998
S 1.931 -5.559 2.691
S 1.931 -1.690 4.383
S 1.931 1.690 6.379
S 1.931 5.559 8.072
S 1.931 1.690 9.764
Sm 0.000 0.000 0.000
Sm 0.000 0.000 5.381
```

Values from the calculation:
- Energy: -61.9 eV for the cell shown
- Crystal system: orthorhombic
- V: 22.1 Å³ per atom


> Look up the energy of the first one.

-10.8 eV for the cell shown